DFT (GGA-PBE) results for TbAlIr after structural relaxation.

The structure in CIF format:
```
data_TbAlIr
_cell_length_a 4.3869
_cell_length_b 4.3869
_cell_length_c 7.2489
_cell_angle_alpha 90.00
_cell_angle_beta 90.00
_cell_angle_gamma 120.00
_symmetry_space_group_name_H-M 'P 63 m c'
_symmetry_Int_Tables_number 186
_symmetry_space_group_name_Hall 'P 6c -2c'
loop_
_atom_site_label
_atom_site_fract_x
_atom_site_fract_y
_atom_site_fract_z
Tb1 0.0000 0.0000 0.0000
Al1 0.3333 0.6667 0.2489
Ir1 0.3333 0.6667 0.7602
```

Output
VASP energy = -6.542 eV/atom